DFT (GGA-PBE) results for a relaxed structure of TaW3.

abc: 4.5385 4.5385 4.5385
angles: 60.00 60.00 60.00
Atoms (fractional coordinates):
Ta: 0.0000 0.0000 0.0000
W: 0.2500 0.2500 0.2500
W: 0.5000 0.5000 0.5000
W: 0.7500 0.7500 0.7500

## Properties
ΔH_f (0 K)	-0.091	eV/atom
E_tot	-12.77	eV per atom
magnetization	0.00	Bohr magnetons per cell

***

DFT (GGA-PBE) results for a relaxed structure of Ta5W.

abc: 5.4499 5.4499 17.2414
angles: 90.00 90.00 120.00
Atoms (fractional coordinates):
Ta: 0.0000 0.0000 0.0951
Ta: 0.0000 0.0000 0.4049
Ta: 0.0000 0.0000 0.5951
Ta: 0.0000 0.0000 0.9049
Ta: 0.0000 0.5000 0.0000
Ta: 0.0000 0.5000 0.5000
Ta: 0.1640 0.3280 0.2500
Ta: 0.1640 0.8360 0.2500
Ta: 0.3280 0.1640 0.7500
Ta: 0.3333 0.6667 0.6565
Ta: 0.3333 0.6667 0.8435
Ta: 0.5000 0.0000 0.0000
Ta: 0.5000 0.0000 0.5000
Ta: 0.5000 0.5000 0.0000
Ta: 0.5000 0.5000 0.5000
Ta: 0.6667 0.3333 0.1565
Ta: 0.6667 0.3333 0.3435
Ta: 0.6720 0.8360 0.2500
Ta: 0.8360 0.1640 0.7500
Ta: 0.8360 0.6720 0.7500
W: 0.3333 0.6667 0.1239
W: 0.3333 0.6667 0.3761
W: 0.6667 0.3333 0.6239
W: 0.6667 0.3333 0.8761

## Properties
ΔH_f (0 K)	0.045	eV/atom
E_tot	-11.99	eV per atom
offset from the most stable computed form	0.0	meV per atom
magnetization	0.01	Bohr magnetons per cell

***

DFT (GGA-PBE) results for a relaxed structure of Ta5W.

abc: 5.4883 5.4883 8.5165
angles: 90.00 90.00 120.00
Atoms (fractional coordinates):
Ta: 0.1696 0.3392 0.2500
Ta: 0.1696 0.8304 0.2500
Ta: 0.3333 0.6667 0.5609
Ta: 0.3333 0.6667 0.9391
Ta: 0.3392 0.1696 0.7500
Ta: 0.6608 0.8304 0.2500
Ta: 0.6667 0.3333 0.0609
Ta: 0.6667 0.3333 0.4391
Ta: 0.8304 0.1696 0.7500
Ta: 0.8304 0.6608 0.7500
W: 0.0000 0.0000 0.0000
W: 0.0000 0.0000 0.5000

## Properties
ΔH_f (0 K)	0.052	eV/atom
E_tot	-11.99	eV per atom
offset from the most stable computed form	7.2	meV per atom
magnetization	0.01	Bohr magnetons per cell

***

DFT (GGA-PBE) results for a relaxed structure of TaW2.

abc: 5.2820 5.2820 17.3677
angles: 90.00 90.00 120.00
Atoms (fractional coordinates):
Ta: 0.3333 0.6667 0.1231
Ta: 0.3333 0.6667 0.3769
Ta: 0.3333 0.6667 0.6583
Ta: 0.3333 0.6667 0.8417
Ta: 0.6667 0.3333 0.1583
Ta: 0.6667 0.3333 0.3417
Ta: 0.6667 0.3333 0.6231
Ta: 0.6667 0.3333 0.8769
W: 0.0000 0.0000 0.0971
W: 0.0000 0.0000 0.4029
W: 0.0000 0.0000 0.5971
W: 0.0000 0.0000 0.9029
W: 0.0000 0.5000 0.0000
W: 0.0000 0.5000 0.5000
W: 0.1627 0.3254 0.2500
W: 0.1627 0.8373 0.2500
W: 0.3254 0.1627 0.7500
W: 0.5000 0.0000 0.0000
W: 0.5000 0.0000 0.5000
W: 0.5000 0.5000 0.0000
W: 0.5000 0.5000 0.5000
W: 0.6746 0.8373 0.2500
W: 0.8373 0.1627 0.7500
W: 0.8373 0.6746 0.7500

## Properties
ΔH_f (0 K)	0.258	eV/atom
E_tot	-12.33	eV per atom
magnetization	0.01	Bohr magnetons per cell

***

DFT (GGA-PBE) results for a relaxed structure of Ta5W24.

abc: 8.6009 8.6009 8.6009
angles: 109.47 109.47 109.47
Atoms (fractional coordinates):
Ta: 0.0000 0.0000 0.0000
Ta: 0.0000 0.0000 0.6326
Ta: 0.0000 0.6326 0.0000
Ta: 0.3674 0.3674 0.3674
Ta: 0.6326 0.0000 0.0000
W: 0.0000 0.1922 0.3799
W: 0.0000 0.3799 0.1922
W: 0.0000 0.4012 0.6800
W: 0.0000 0.6800 0.4012
W: 0.1877 0.8078 0.8078
W: 0.1922 0.0000 0.3799
W: 0.1922 0.3799 0.0000
W: 0.2787 0.5988 0.5988
W: 0.3200 0.3200 0.7213
W: 0.3200 0.7213 0.3200
W: 0.3799 0.0000 0.1922
W: 0.3799 0.1922 0.0000
W: 0.4012 0.0000 0.6800
W: 0.4012 0.6800 0.0000
W: 0.5988 0.2787 0.5988
W: 0.5988 0.5988 0.2787
W: 0.6201 0.6201 0.8123
W: 0.6201 0.8123 0.6201
W: 0.6800 0.0000 0.4012
W: 0.6800 0.4012 0.0000
W: 0.7213 0.3200 0.3200
W: 0.8078 0.1877 0.8078
W: 0.8078 0.8078 0.1877
W: 0.8123 0.6201 0.6201

## Properties
ΔH_f (0 K)	0.145	eV/atom
E_tot	-12.62	eV per atom
magnetization	0.00	Bohr magnetons per cell

***

DFT (GGA-PBE) results for a relaxed structure of Ta5W.

abc: 5.3961 5.3961 17.5261
angles: 90.00 90.00 120.00
Atoms (fractional coordinates):
Ta: 0.0000 0.5000 0.0000
Ta: 0.0000 0.5000 0.5000
Ta: 0.1636 0.3271 0.2500
Ta: 0.1636 0.8364 0.2500
Ta: 0.3271 0.1636 0.7500
Ta: 0.3333 0.6667 0.1236
Ta: 0.3333 0.6667 0.3764
Ta: 0.3333 0.6667 0.6566
Ta: 0.3333 0.6667 0.8434
Ta: 0.5000 0.0000 0.0000
Ta: 0.5000 0.0000 0.5000
Ta: 0.5000 0.5000 0.0000
Ta: 0.5000 0.5000 0.5000
Ta: 0.6667 0.3333 0.1566
Ta: 0.6667 0.3333 0.3434
Ta: 0.6667 0.3333 0.6236
Ta: 0.6667 0.3333 0.8764
Ta: 0.6729 0.8364 0.2500
Ta: 0.8364 0.1636 0.7500
Ta: 0.8364 0.6729 0.7500
W: 0.0000 0.0000 0.0950
W: 0.0000 0.0000 0.4050
W: 0.0000 0.0000 0.5950
W: 0.0000 0.0000 0.9050

## Properties
ΔH_f (0 K)	0.222	eV/atom
E_tot	-11.81	eV per atom
offset from the most stable computed form	177.9	meV per atom
magnetization	0.02	Bohr magnetons per cell

***

DFT (GGA-PBE) results for a relaxed structure of TaW2.

abc: 9.9264 9.9264 5.2071
angles: 90.00 90.00 90.00
Atoms (fractional coordinates):
Ta: 0.0000 0.0000 0.0000
Ta: 0.0343 0.3670 0.5000
Ta: 0.1330 0.5343 0.0000
Ta: 0.3670 0.0343 0.5000
Ta: 0.4657 0.8670 0.0000
Ta: 0.5000 0.5000 0.5000
Ta: 0.5343 0.1330 0.0000
Ta: 0.6330 0.9657 0.5000
Ta: 0.8670 0.4657 0.0000
Ta: 0.9657 0.6330 0.5000
W: 0.0628 0.2572 0.0000
W: 0.1006 0.1006 0.5000
W: 0.1871 0.8129 0.2503
W: 0.1871 0.8129 0.7497
W: 0.2428 0.5628 0.5000
W: 0.2572 0.0628 0.0000
W: 0.3129 0.3129 0.2497
W: 0.3129 0.3129 0.7503
W: 0.3994 0.6006 0.0000
W: 0.4372 0.7572 0.5000
W: 0.5628 0.2428 0.5000
W: 0.6006 0.3994 0.0000
W: 0.6871 0.6871 0.2497
W: 0.6871 0.6871 0.7503
W: 0.7428 0.9372 0.0000
W: 0.7572 0.4372 0.5000
W: 0.8129 0.1871 0.2503
W: 0.8129 0.1871 0.7497
W: 0.8994 0.8994 0.5000
W: 0.9372 0.7428 0.0000

## Properties
ΔH_f (0 K)	0.106	eV/atom
E_tot	-12.49	eV per atom
magnetization	0.00	Bohr magnetons per cell

***

DFT (GGA-PBE) results for a relaxed structure of TaW2.

abc: 5.3037 5.3037 8.6491
angles: 90.00 90.00 120.00
Atoms (fractional coordinates):
Ta: 0.3333 0.6667 0.0563
Ta: 0.3333 0.6667 0.4437
Ta: 0.6667 0.3333 0.5563
Ta: 0.6667 0.3333 0.9437
W: 0.0000 0.0000 0.0000
W: 0.0000 0.0000 0.5000
W: 0.1704 0.3409 0.7500
W: 0.1704 0.8296 0.7500
W: 0.3409 0.1704 0.2500
W: 0.6591 0.8296 0.7500
W: 0.8296 0.1704 0.2500
W: 0.8296 0.6591 0.2500

## Properties
ΔH_f (0 K)	0.086	eV/atom
E_tot	-12.51	eV per atom
magnetization	0.01	Bohr magnetons per cell

***

DFT (GGA-PBE) results for a relaxed structure of Ta8W7.

abc: 9.9937 9.9937 5.2739
angles: 90.00 90.00 90.00
Atoms (fractional coordinates):
Ta: 0.0345 0.3679 0.0000
Ta: 0.1321 0.5345 0.5000
Ta: 0.1844 0.8156 0.2491
Ta: 0.1844 0.8156 0.7509
Ta: 0.3156 0.3156 0.2509
Ta: 0.3156 0.3156 0.7491
Ta: 0.3679 0.0345 0.0000
Ta: 0.4655 0.8679 0.5000
Ta: 0.5345 0.1321 0.5000
Ta: 0.6321 0.9655 0.0000
Ta: 0.6844 0.6844 0.2509
Ta: 0.6844 0.6844 0.7491
Ta: 0.8156 0.1844 0.2491
Ta: 0.8156 0.1844 0.7509
Ta: 0.8679 0.4655 0.5000
Ta: 0.9655 0.6321 0.0000
W: 0.0000 0.0000 0.5000
W: 0.0646 0.2559 0.5000
W: 0.1015 0.1015 0.0000
W: 0.2441 0.5646 0.0000
W: 0.2559 0.0646 0.5000
W: 0.3985 0.6015 0.5000
W: 0.4354 0.7559 0.0000
W: 0.5000 0.5000 0.0000
W: 0.5646 0.2441 0.0000
W: 0.6015 0.3985 0.5000
W: 0.7441 0.9354 0.5000
W: 0.7559 0.4354 0.0000
W: 0.8985 0.8985 0.0000
W: 0.9354 0.7441 0.5000

## Properties
ΔH_f (0 K)	0.030	eV/atom
E_tot	-12.34	eV per atom
offset from the most stable computed form	0.0	meV per atom
magnetization	0.00	Bohr magnetons per cell

***

DFT (GGA-PBE) results for a relaxed structure of TaW2.

abc: 5.2932 5.2932 8.7432
angles: 90.00 90.00 120.80
Atoms (fractional coordinates):
Ta: 0.0000 0.0000 0.0000
Ta: 0.0000 0.0000 0.5000
Ta: 0.1719 0.8281 0.7500
Ta: 0.8281 0.1719 0.2500
W: 0.1703 0.3392 0.7500
W: 0.3362 0.6638 0.0458
W: 0.3362 0.6638 0.4542
W: 0.3392 0.1703 0.2500
W: 0.6608 0.8297 0.7500
W: 0.6638 0.3362 0.5458
W: 0.6638 0.3362 0.9542
W: 0.8297 0.6608 0.2500

## Properties
ΔH_f (0 K)	0.455	eV/atom
E_tot	-12.14	eV per atom
magnetization	0.06	Bohr magnetons per cell

***

DFT (GGA-PBE) results for a relaxed structure of Ta3W2.

abc: 10.0308 10.0308 5.2696
angles: 90.00 90.00 90.00
Atoms (fractional coordinates):
Ta: 0.0000 0.0000 0.0000
Ta: 0.0653 0.2646 0.0000
Ta: 0.1819 0.8181 0.2512
Ta: 0.1819 0.8181 0.7488
Ta: 0.2354 0.5653 0.5000
Ta: 0.2646 0.0653 0.0000
Ta: 0.3181 0.3181 0.2488
Ta: 0.3181 0.3181 0.7512
Ta: 0.4347 0.7646 0.5000
Ta: 0.5000 0.5000 0.5000
Ta: 0.5653 0.2354 0.5000
Ta: 0.6819 0.6819 0.2488
Ta: 0.6819 0.6819 0.7512
Ta: 0.7354 0.9347 0.0000
Ta: 0.7646 0.4347 0.5000
Ta: 0.8181 0.1819 0.2512
Ta: 0.8181 0.1819 0.7488
Ta: 0.9347 0.7354 0.0000
W: 0.0361 0.3698 0.5000
W: 0.1054 0.1054 0.5000
W: 0.1302 0.5361 0.0000
W: 0.3698 0.0361 0.5000
W: 0.3946 0.6054 0.0000
W: 0.4639 0.8698 0.0000
W: 0.5361 0.1302 0.0000
W: 0.6054 0.3946 0.0000
W: 0.6302 0.9639 0.5000
W: 0.8698 0.4639 0.0000
W: 0.8946 0.8946 0.5000
W: 0.9639 0.6302 0.5000

## Properties
ΔH_f (0 K)	0.109	eV/atom
E_tot	-12.19	eV per atom
offset from the most stable computed form	78.6	meV per atom
magnetization	0.00	Bohr magnetons per cell

***

DFT (GGA-PBE) results for a relaxed structure of TaW5.

abc: 5.2562 5.2562 17.2356
angles: 90.00 90.00 120.00
Atoms (fractional coordinates):
Ta: 0.3333 0.6667 0.1531
Ta: 0.3333 0.6667 0.3469
Ta: 0.6667 0.3333 0.6531
Ta: 0.6667 0.3333 0.8469
W: 0.0000 0.0000 0.1016
W: 0.0000 0.0000 0.3984
W: 0.0000 0.0000 0.6016
W: 0.0000 0.0000 0.8984
W: 0.0000 0.5000 0.0000
W: 0.0000 0.5000 0.5000
W: 0.1632 0.3264 0.7500
W: 0.1632 0.8368 0.7500
W: 0.3264 0.1632 0.2500
W: 0.3333 0.6667 0.6241
W: 0.3333 0.6667 0.8759
W: 0.5000 0.0000 0.0000
W: 0.5000 0.0000 0.5000
W: 0.5000 0.5000 0.0000
W: 0.5000 0.5000 0.5000
W: 0.6667 0.3333 0.1241
W: 0.6667 0.3333 0.3759
W: 0.6736 0.8368 0.7500
W: 0.8368 0.1632 0.2500
W: 0.8368 0.6736 0.2500

## Properties
ΔH_f (0 K)	0.282	eV/atom
E_tot	-12.49	eV per atom
offset from the most stable computed form	8.3	meV per atom
magnetization	0.02	Bohr magnetons per cell

***

Please write out number 4 again, unchanged.
DFT (GGA-PBE) results for a relaxed structure of TaW2.

abc: 5.2820 5.2820 17.3677
angles: 90.00 90.00 120.00
Atoms (fractional coordinates):
Ta: 0.3333 0.6667 0.1231
Ta: 0.3333 0.6667 0.3769
Ta: 0.3333 0.6667 0.6583
Ta: 0.3333 0.6667 0.8417
Ta: 0.6667 0.3333 0.1583
Ta: 0.6667 0.3333 0.3417
Ta: 0.6667 0.3333 0.6231
Ta: 0.6667 0.3333 0.8769
W: 0.0000 0.0000 0.0971
W: 0.0000 0.0000 0.4029
W: 0.0000 0.0000 0.5971
W: 0.0000 0.0000 0.9029
W: 0.0000 0.5000 0.0000
W: 0.0000 0.5000 0.5000
W: 0.1627 0.3254 0.2500
W: 0.1627 0.8373 0.2500
W: 0.3254 0.1627 0.7500
W: 0.5000 0.0000 0.0000
W: 0.5000 0.0000 0.5000
W: 0.5000 0.5000 0.0000
W: 0.5000 0.5000 0.5000
W: 0.6746 0.8373 0.2500
W: 0.8373 0.1627 0.7500
W: 0.8373 0.6746 0.7500

## Properties
ΔH_f (0 K)	0.258	eV/atom
E_tot	-12.33	eV per atom
magnetization	0.01	Bohr magnetons per cell

***

ΔH_f (0 K) of number 8 (TaW2)? 0.086 eV/atom

***

Repeat the second record exactly.
DFT (GGA-PBE) results for a relaxed structure of Ta5W.

abc: 5.4499 5.4499 17.2414
angles: 90.00 90.00 120.00
Atoms (fractional coordinates):
Ta: 0.0000 0.0000 0.0951
Ta: 0.0000 0.0000 0.4049
Ta: 0.0000 0.0000 0.5951
Ta: 0.0000 0.0000 0.9049
Ta: 0.0000 0.5000 0.0000
Ta: 0.0000 0.5000 0.5000
Ta: 0.1640 0.3280 0.2500
Ta: 0.1640 0.8360 0.2500
Ta: 0.3280 0.1640 0.7500
Ta: 0.3333 0.6667 0.6565
Ta: 0.3333 0.6667 0.8435
Ta: 0.5000 0.0000 0.0000
Ta: 0.5000 0.0000 0.5000
Ta: 0.5000 0.5000 0.0000
Ta: 0.5000 0.5000 0.5000
Ta: 0.6667 0.3333 0.1565
Ta: 0.6667 0.3333 0.3435
Ta: 0.6720 0.8360 0.2500
Ta: 0.8360 0.1640 0.7500
Ta: 0.8360 0.6720 0.7500
W: 0.3333 0.6667 0.1239
W: 0.3333 0.6667 0.3761
W: 0.6667 0.3333 0.6239
W: 0.6667 0.3333 0.8761

## Properties
ΔH_f (0 K)	0.045	eV/atom
E_tot	-11.99	eV per atom
offset from the most stable computed form	0.0	meV per atom
magnetization	0.01	Bohr magnetons per cell

***

E_tot of number 12 (TaW5)? -12.49 eV per atom